# 1
# GGA-PBE Pm8Sm3, optimized geometry
# DOS at the Fermi energy   13.2 states/eV/f.u.
# ΔE_f   346 meV per atom
# Calculated volume   35.19 Å³ per atom
# Calculated total energy   -48.4 eV/cell
# Total moment   0.00 μB per cell
data_Pm8Sm3
_symmetry_space_group_name_H-M 'P 1'
_symmetry_Int_Tables_number 1
_cell_length_a 7.6554
_cell_length_b 7.6554
_cell_length_c 7.6554
_cell_angle_alpha 105.59
_cell_angle_beta 105.59
_cell_angle_gamma 105.59
loop_
_symmetry_equiv_pos_as_xyz
'x,y,z'
loop_
_atom_site_label
_atom_site_fract_x
_atom_site_fract_y
_atom_site_fract_z
Pm1 0.1842 0.6759 0.5686
Pm2 0.2354 0.2354 0.2354
Pm3 0.3241 0.4314 0.8158
Pm4 0.4314 0.8158 0.3241
Pm5 0.5686 0.1842 0.6759
Pm6 0.6759 0.5686 0.1842
Pm7 0.7646 0.7646 0.7646
Pm8 0.8158 0.3241 0.4314
Sm1 0.0000 0.0000 0.5000
Sm2 0.0000 0.5000 0.0000
Sm3 0.5000 0.0000 0.0000


# 2
# GGA-PBE Pm6Sm2Sn, optimized geometry
# DOS at the Fermi energy   11.9 states/eV/f.u.
# ΔE_f   -159 meV per atom
# Calculated volume   33.32 Å³ per atom
# Calculated total energy   -43.4 eV/cell
# Total moment   0.00 μB per cell
data_Pm6Sm2Sn
_symmetry_space_group_name_H-M 'P 1'
_symmetry_Int_Tables_number 1
_cell_length_a 9.6625
_cell_length_b 9.6625
_cell_length_c 3.7089
_cell_angle_alpha 90.00
_cell_angle_beta 90.00
_cell_angle_gamma 120.00
loop_
_symmetry_equiv_pos_as_xyz
'x,y,z'
loop_
_atom_site_label
_atom_site_fract_x
_atom_site_fract_y
_atom_site_fract_z
Pm1 0.0000 0.2761 0.0000
Pm2 0.0000 0.6293 0.5000
Pm3 0.2761 0.0000 0.0000
Pm4 0.3707 0.3707 0.5000
Pm5 0.6293 0.0000 0.5000
Pm6 0.7239 0.7239 0.0000
Sm1 0.3333 0.6667 0.0000
Sm2 0.6667 0.3333 0.0000
Sn1 0.0000 0.0000 0.5000


# 3
# GGA-PBE Pm9SmSn2, optimized geometry
# DOS at the Fermi energy   11.9 states/eV/f.u.
# ΔE_f   -278 meV per atom
# Calculated volume   31.28 Å³ per atom
# Calculated total energy   -58.8 eV/cell
# Total moment   0.00 μB per cell
data_Pm9SmSn2
_symmetry_space_group_name_H-M 'P 1'
_symmetry_Int_Tables_number 1
_cell_length_a 4.9535
_cell_length_b 4.9535
_cell_length_c 15.2975
_cell_angle_alpha 90.00
_cell_angle_beta 90.00
_cell_angle_gamma 90.00
loop_
_symmetry_equiv_pos_as_xyz
'x,y,z'
loop_
_atom_site_label
_atom_site_fract_x
_atom_site_fract_y
_atom_site_fract_z
Pm1 0.0000 0.0000 0.0000
Pm2 0.0000 0.0000 0.3403
Pm3 0.0000 0.0000 0.6597
Pm4 0.0000 0.5000 0.1769
Pm5 0.0000 0.5000 0.5000
Pm6 0.0000 0.5000 0.8231
Pm7 0.5000 0.0000 0.1769
Pm8 0.5000 0.0000 0.5000
Pm9 0.5000 0.0000 0.8231
Sm1 0.5000 0.5000 0.0000
Sn1 0.5000 0.5000 0.3382
Sn2 0.5000 0.5000 0.6618